# 1
A relaxed Na2CaCd crystal, computed with PBE.

It has space group R-3m (No. 166, hexagonal axes), with a = 3.6438 Å, b = 3.6438 Å, c = 36.4737 Å, α = 90.00°, β = 90.00° and γ = 120.00°. The asymmetric unit holds Na at (0.0000, 0.0000, 0.0974), Ca at (0.0000, 0.0000, 0.0000) and Cd at (0.0000, 0.0000, 0.5000).

Its crystal system is trigonal. The total magnetic moment is 0.00 μB/cell. The total DFT energy (no corrections) comes out at -1.29 eV/atom.


# 2
A relaxed Na2CaCd crystal, computed with PBE.

It has space group P4/mmm (No. 123), with a = 4.057 Å, b = 4.057 Å, c = 7.802 Å, α = 90.00°, β = 90.00° and γ = 90.00°. The asymmetric unit holds Na at (0.000, 0.000, 0.209), Ca at (0.500, 0.500, 0.500) and Cd at (0.500, 0.500, 0.000).

Its crystal system is tetragonal. The total magnetic moment is 0.00 μB/cell. The total DFT energy (no corrections) comes out at -1.39 eV/atom.


# 3
A relaxed NaCaCd crystal, computed with PBE.

It has space group I4mm (No. 107), with a = 3.987 Å, b = 3.987 Å, c = 11.408 Å, α = 90.00°, β = 90.00° and γ = 90.00°. The asymmetric unit holds Na at (0.000, 0.000, 0.000), Ca at (0.000, 0.000, 0.700) and Cd at (0.000, 0.000, 0.352).

Its crystal system is tetragonal. The total magnetic moment is 0.00 μB/cell. The total DFT energy (no corrections) comes out at -1.53 eV/atom.


# 4
A relaxed NaCa7Cd4 crystal, computed with PBE.

It has space group C2/m (No. 12), with a = 15.165 Å, b = 5.879 Å, c = 10.734 Å, α = 90.00°, β = 124.20° and γ = 90.00°. The asymmetric unit holds Na at (0.000, 0.000, 0.000), Ca at (0.000, 0.500, 0.000), Ca at (0.070, 0.000, 0.389), Ca at (0.204, 0.500, 0.653), Ca at (0.215, 0.000, 0.883), Cd at (0.050, 0.500, 0.756) and Cd at (0.185, 0.500, 0.340).

Its crystal system is monoclinic. The total magnetic moment is 0.00 μB/cell. The total DFT energy (no corrections) comes out at -1.71 eV/atom.